Computed, not measured: an optimized crystal structure of NaInBr3 at the PBE level of DFT.

Results
Magnetic moment (μB/cell): 0.00
E_form (uncorrected) (eV per atom): -0.976

Structure (POSCAR):
```
NaInBr3
1.0
7.419 0.000 0.000
-3.694 6.759 0.000
-3.582 -2.197 6.570
Na In Br
2 2 6
Direct
0.207 0.354 0.065
0.793 0.646 0.935
0.197 0.855 0.540
0.803 0.145 0.460
0.004 0.452 0.278
0.305 0.044 0.241
0.309 0.244 0.753
0.691 0.756 0.247
0.695 0.956 0.759
0.996 0.548 0.722
```